Entry 1:
An optimized crystal structure of KBa2Sr, computed with PBE.

Cell: 10.945 10.945 8.347 Å, 90.00 90.00 90.00°
Space group I-42d (No. 122)
Symmetry-distinct sites (fractional):
K: 0.000 0.000 0.000 [4 per cell]
Ba: 0.239 0.750 0.125 [8 per cell]
Sr: 0.000 0.000 0.500 [4 per cell]

- total magnetization (Bohr magnetons per cell) = 0.03
- energy relative to the lowest polymorph listed for this composition (eV/atom) = 0.217
- ΔE_f (eV/f.u.) = 1.0

***

Entry 2:
An optimized crystal structure of Hf4SiP, computed with PBE.

Cell: 6.471 6.471 5.228 Å, 90.00 90.00 90.00°
Space group P4/mcc (No. 124)
Symmetry-distinct sites (fractional):
Hf: 0.157 0.339 0.000 [8 per cell]
Si: 0.500 0.500 0.250 [2 per cell]
P: 0.000 0.000 0.250 [2 per cell]

- total magnetization (Bohr magnetons per cell) = 0.00
- raw formation energy (kcal/mol of atoms) = -19.969
- energy relative to the lowest polymorph listed for this composition (eV/atom) = 0.000

***

The lowest total magnetization belongs to which entry? Hf4SiP